# 1
The following is a DFT calculation (meta-GGA SCAN) of a crystal of CdBr relaxed with PBEsol.

Values from the calculation:
Crystal system ... cubic
Space group ... No. 225
Size of the total moment ... 0.00 μB/f.u.
Energy relative to the elements, uncorrected ... -0.32 eV/atom

a = 4.2705 Å, b = 4.2705 Å, c = 4.2710 Å
α = 60.00°, β = 60.00°, γ = 60.00°
With the nearest neighbours (Å) after each atom.
Positions (direct):
Cd (0.5000, 0.5000, 0.5000)  6 Br 3.02
Br (0.0000, 0.0000, 0.0000)  6 Cd 3.02

***

# 2
The following is a DFT calculation (meta-GGA SCAN) of a crystal of CuOsRh2 relaxed with PBEsol.

Values from the calculation:
Crystal system ... orthorhombic
E_form ... 70.5 meV per atom
Space group ... No. 47
Size of the total moment ... 0.00 μB/f.u.

a = 2.6910 Å, b = 3.7103 Å, c = 5.2644 Å
α = 90.00°, β = 89.99°, γ = 90.00°
With the nearest neighbours (Å) after each atom.
Positions (direct):
Os (0.5000, 0.5000, 0.5000)  2 Cu 2.63, 8 Rh 2.64, 2 Os 2.69
Rh (0.0001, 0.0000, 0.2494)  4 Rh 2.63-2.69, 4 Cu 2.64, 4 Os 2.64
Rh (0.9999, 0.0000, 0.7507)  4 Rh 2.63-2.69, 4 Cu 2.64, 4 Os 2.64
Cu (0.5000, 0.5000, 0.0000)  2 Os 2.63, 8 Rh 2.64, 2 Cu 2.69

***

# 3
The following is a DFT calculation (meta-GGA SCAN) of a crystal of ReBi3Cl relaxed with PBEsol.

Values from the calculation:
Crystal system ... cubic
Space group ... No. 221
Size of the total moment ... 3.07 μB/f.u.
Energy relative to the elements, uncorrected ... 1.79 eV/atom

a = 5.2736 Å, b = 5.2736 Å, c = 5.2736 Å
α = 90.00°, β = 90.00°, γ = 90.00°
With the nearest neighbours (Å) after each atom.
Positions (direct):
Bi (0.0000, 0.0000, 0.5000)  2 Cl 2.64
Bi (0.0000, 0.5000, 0.0000)  2 Cl 2.64
Bi (0.5000, 0.0000, 0.0000)  2 Cl 2.64
Cl (0.0000, 0.0000, 0.0000)  6 Bi 2.64
Re (0.5000, 0.5000, 0.5000)  12 Bi 3.73

***

# 4
The following is a DFT calculation (meta-GGA SCAN) of a crystal of Al2AsPS relaxed with PBEsol.

Values from the calculation:
Crystal system ... tetragonal
Space group ... No. 123
Size of the total moment ... 0.01 μB/f.u.
Energy relative to the elements, uncorrected ... 0.41 eV/atom

a = 4.3269 Å, b = 4.7031 Å, c = 4.7031 Å
α = 90.00°, β = 90.00°, γ = 90.00°
With the nearest neighbours (Å) after each atom.
Positions (direct):
S (0.5000, 0.0000, 0.0000)  2 P 2.16
P (0.0000, 0.0000, 0.0000)  2 S 2.16, 4 Al 2.35
Al (0.0000, 0.5000, 0.0000)  2 P 2.35
Al (0.0000, 0.0000, 0.5000)  2 P 2.35
As (0.5000, 0.5000, 0.5000)  8 Al 3.20, 4 S 3.33

***

# 5
The following is a DFT calculation (meta-GGA SCAN) of a crystal of YSc2Ag relaxed with PBEsol.

Values from the calculation:
Crystal system ... orthorhombic
E_form ... -160.0 meV per atom
Space group ... No. 71
Size of the total moment ... 0.01 μB/f.u.

a = 3.4704 Å, b = 5.0419 Å, c = 6.1389 Å
α = 114.25°, β = 106.42°, γ = 90.00°
With the nearest neighbours (Å) after each atom.
Positions (direct):
Sc (0.7188, 0.7188, 0.4376)  2 Ag 2.90, 4 Sc 3.13
Sc (0.2812, 0.2812, 0.5624)  2 Ag 2.90, 4 Sc 3.13
Y (0.5000, 0.0000, 0.0000)  4 Ag 3.06
Ag (0.0000, 0.5000, 0.0000)  4 Sc 2.90, 4 Y 3.06

***

# 6
The following is a DFT calculation (meta-GGA SCAN) of a crystal of LaIrBr relaxed with PBEsol.

Values from the calculation:
Crystal system ... cubic
Space group ... No. 216
Size of the total moment ... 0.00 μB/f.u.
Energy relative to the elements, uncorrected ... -0.05 eV/atom

a = 4.6803 Å, b = 4.6803 Å, c = 4.6803 Å
α = 60.00°, β = 60.00°, γ = 60.00°
With the nearest neighbours (Å) after each atom.
Positions (direct):
Ir (0.0000, 0.0000, 0.0000)  4 Br 2.87
Br (0.2500, 0.2500, 0.2500)  4 La 2.87, 4 Ir 2.87
La (0.5000, 0.5000, 0.5000)  4 Br 2.87

***

# 7
The following is a DFT calculation (meta-GGA SCAN) of a crystal of LiGeSb2 relaxed with PBEsol.

Values from the calculation:
Crystal system ... tetragonal
Space group ... No. 122
Size of the total moment ... 0.00 μB/f.u.
Energy relative to the elements, uncorrected ... 0.04 eV/atom

a = 6.4696 Å, b = 7.1193 Å, c = 6.4696 Å
α = 117.02°, β = 90.00°, γ = 117.02°
With the nearest neighbours (Å) after each atom.
Positions (direct):
Sb (0.1250, 0.7500, 0.6327)  2 Ge 2.63, 2 Li 2.69
Sb (0.8827, 0.2500, 0.8750)  2 Ge 2.63, 2 Li 2.69
Sb (0.3673, 0.2500, 0.3750)  2 Ge 2.63, 2 Li 2.69
Sb (0.6250, 0.7500, 0.1173)  2 Ge 2.63, 2 Li 2.69
Li (0.5000, 0.0000, 0.5000)  4 Sb 2.69
Li (0.7500, 0.5000, 0.2500)  4 Sb 2.69
Ge (0.2500, 0.5000, 0.7500)  4 Sb 2.63
Ge (0.0000, 0.0000, 0.0000)  4 Sb 2.63

***

# 8
The following is a DFT calculation (meta-GGA SCAN) of a crystal of TlZnSi2 relaxed with PBEsol.

Values from the calculation:
Crystal system ... tetragonal
Space group ... No. 122
Size of the total moment ... 0.00 μB/f.u.
Energy relative to the elements, uncorrected ... 0.53 eV/atom

a = 4.0818 Å, b = 4.0818 Å, c = 9.7262 Å
α = 102.11°, β = 102.11°, γ = 90.00°
With the nearest neighbours (Å) after each atom.
Positions (direct):
Si (0.4542, 0.8750, 0.2500)  2 Si 2.47, 2 Zn 2.63
Si (0.6250, 0.5458, 0.7500)  2 Si 2.47, 2 Zn 2.63
Si (0.1250, 0.2042, 0.7500)  2 Si 2.47, 2 Zn 2.63
Si (0.7958, 0.3750, 0.2500)  2 Si 2.47, 2 Zn 2.63
Zn (0.7500, 0.2500, 0.5000)  4 Si 2.63, 4 Tl 2.89
Zn (0.5000, 0.5000, 0.0000)  4 Si 2.63, 4 Tl 2.89
Tl (0.0000, 0.0000, 0.0000)  4 Si 2.87, 4 Zn 2.89
Tl (0.2500, 0.7500, 0.5000)  4 Si 2.87, 4 Zn 2.89

***

Number 3 is which compound?
ReBi3Cl

***

Look up the size of the total moment of the eighth one.
0.00 μB/f.u.

***

Which value of size of the total moment does entry 5 give?
0.01 μB/f.u.

***

What is the formula in the fourth record?
Al2AsPS